! Be2Cd2WO6 PBE with a Hubbard U optimized geometry; values from VASP
! Electronic total energy in eV per atom: -5.9662
! D(E_F) in states/eV per cell: 0.53
! Density in g cm⁻³: 5.68
! Space group: P-3 (147)
! V in Å³ per cell: 152.7
! Total magnetic moment in μB per formula unit: 0.00
&SYSTEM
  ibrav = 0, nat = 11, ntyp = 4
/
ATOMIC_SPECIES
Cd 112.41 Cd.upf
O 16.00 O.upf
Be 9.01 Be.upf
W 183.84 W.upf
CELL_PARAMETERS angstrom
-4.147 1.881 2.075
2.668 -3.461 2.437
3.821 5.079 3.031
ATOMIC_POSITIONS angstrom
Cd 0.558 3.335 4.125
O -2.554 1.609 3.171
Be -1.261 0.917 2.683
Cd 1.785 0.165 3.417
O -0.561 -0.132 3.577
O -0.655 1.291 1.311
O 2.904 3.632 3.966
Be 3.604 2.583 4.860
O 2.998 2.209 6.232
W 0.000 0.000 0.000
O 4.897 1.890 4.372